--- one ---
# BaNbH PBE relaxed
data_BaNbH
_cell_length_a 20.579
_cell_length_b 3.658
_cell_length_c 3.739
_cell_angle_alpha 90.00
_cell_angle_beta 95.40
_cell_angle_gamma 90.00
_space_group_name_H-M_alt 'C 1 m 1'
_space_group_IT_number 8
_space_group_name_Hall 'C -2y'
loop_
_atom_site_label
_atom_site_fract_x
_atom_site_fract_y
_atom_site_fract_z
Ba1 0.000 0.000 0.000
Ba2 0.192 0.000 0.231
Nb1 0.325 0.500 0.894
Nb2 0.373 0.000 0.443
H1 0.294 0.000 0.715
H2 0.469 0.000 0.486
# DOS at the Fermi energy, states/eV per cell: 7.20
# Magnetization, μB/atom: 0.000


--- two ---
# BaNbH PBE relaxed
data_BaNbH
_cell_length_a 20.573
_cell_length_b 3.565
_cell_length_c 4.146
_cell_angle_alpha 90.00
_cell_angle_beta 90.00
_cell_angle_gamma 90.00
_space_group_name_H-M_alt 'P n m a'
_space_group_IT_number 62
_space_group_name_Hall '-P 2ac 2n'
loop_
_atom_site_label
_atom_site_fract_x
_atom_site_fract_y
_atom_site_fract_z
Ba1 0.093 0.250 0.243
Nb1 0.234 0.250 0.739
H1 0.221 0.250 0.239
# DOS at the Fermi energy, states/eV per cell: 8.41
# Magnetization, μB/atom: 0.000


Q: What are the energies relative to the best structure? A: one 0.0; two 13.1, in kJ/mol of atoms.


--- one ---
# BeIn PBE relaxed
data_BeIn
_cell_length_a 6.482
_cell_length_b 3.852
_cell_length_c 6.550
_cell_angle_alpha 90.00
_cell_angle_beta 118.32
_cell_angle_gamma 90.00
_space_group_name_H-M_alt 'C 1 2/m 1'
_space_group_IT_number 12
_space_group_name_Hall '-C 2y'
loop_
_atom_site_label
_atom_site_fract_x
_atom_site_fract_y
_atom_site_fract_z
Be1 0.170 0.000 0.000
In1 0.136 0.500 0.284
# DOS at the Fermi energy, states/eV per cell: 2.70
# Magnetization, μB/atom: 0.000


--- two ---
# BeIn PBE relaxed
data_BeIn
_cell_length_a 12.699
_cell_length_b 2.878
_cell_length_c 4.208
_cell_angle_alpha 90.00
_cell_angle_beta 105.13
_cell_angle_gamma 90.00
_space_group_name_H-M_alt 'C 1 2/m 1'
_space_group_IT_number 12
_space_group_name_Hall '-C 2y'
loop_
_atom_site_label
_atom_site_fract_x
_atom_site_fract_y
_atom_site_fract_z
Be1 0.186 0.000 0.026
In1 0.115 0.500 0.461
# DOS at the Fermi energy, states/eV per cell: 1.54
# Magnetization, μB/atom: 0.000


Q: What are the energies relative to the best structure? A: one 0.0; two 15.3, in kJ/mol of atoms.


--- one ---
# K2CaFe PBE relaxed
data_K2CaFe
_cell_length_a 5.001
_cell_length_b 5.001
_cell_length_c 12.537
_cell_angle_alpha 90.00
_cell_angle_beta 90.00
_cell_angle_gamma 90.00
_space_group_name_H-M_alt 'I 4/m m m'
_space_group_IT_number 139
_space_group_name_Hall '-I 4 2'
loop_
_atom_site_label
_atom_site_fract_x
_atom_site_fract_y
_atom_site_fract_z
K1 0.000 0.500 0.250
Ca1 0.000 0.000 0.000
Fe1 0.000 0.000 0.500
# DOS at the Fermi energy, states/eV per cell: 14.84
# Magnetization, μB/atom: 0.694


--- two ---
# K2CaFe PBE relaxed
data_K2CaFe
_cell_length_a 3.804
_cell_length_b 6.584
_cell_length_c 13.695
_cell_angle_alpha 90.00
_cell_angle_beta 90.00
_cell_angle_gamma 90.00
_space_group_name_H-M_alt 'I m m 2'
_space_group_IT_number 44
_space_group_name_Hall 'I 2 -2'
loop_
_atom_site_label
_atom_site_fract_x
_atom_site_fract_y
_atom_site_fract_z
K1 0.000 0.000 0.000
K2 0.000 0.500 0.190
Ca1 0.000 0.500 0.816
Fe1 0.000 0.000 0.479
# DOS at the Fermi energy, states/eV per cell: 8.02
# Magnetization, μB/atom: 0.667


Q: What are the energies relative to the best structure? A: one 9.9; two 0.0, in kJ/mol of atoms.


--- one ---
# Na5B7C3 PBE relaxed
data_Na5B7C3
_cell_length_a 14.004
_cell_length_b 5.159
_cell_length_c 10.283
_cell_angle_alpha 90.00
_cell_angle_beta 123.03
_cell_angle_gamma 90.00
_space_group_name_H-M_alt 'C 1 2/c 1'
_space_group_IT_number 15
_space_group_name_Hall '-C 2yc'
loop_
_atom_site_label
_atom_site_fract_x
_atom_site_fract_y
_atom_site_fract_z
Na1 0.000 0.000 0.000
Na2 0.101 0.498 0.001
Na3 0.200 0.001 0.001
B1 0.000 0.134 0.250
B2 0.097 0.350 0.250
B3 0.101 0.320 0.750
B4 0.203 0.151 0.250
C1 0.000 0.161 0.750
C2 0.202 0.161 0.750
# DOS at the Fermi energy, states/eV per cell: 11.85
# Magnetization, μB/atom: 0.010


--- two ---
# Na5B7C3 PBE relaxed
data_Na5B7C3
_cell_length_a 22.942
_cell_length_b 2.850
_cell_length_c 9.949
_cell_angle_alpha 90.00
_cell_angle_beta 107.10
_cell_angle_gamma 90.00
_space_group_name_H-M_alt 'C 1 2/m 1'
_space_group_IT_number 12
_space_group_name_Hall '-C 2y'
loop_
_atom_site_label
_atom_site_fract_x
_atom_site_fract_y
_atom_site_fract_z
Na1 0.000 0.000 0.000
Na2 0.000 0.500 0.500
Na3 0.100 0.000 0.701
Na4 0.100 0.500 0.201
Na5 0.200 0.000 0.401
Na6 0.200 0.500 0.903
B1 0.014 0.000 0.278
B2 0.080 0.500 0.910
B3 0.083 0.000 0.416
B4 0.119 0.000 0.989
B5 0.123 0.500 0.496
B6 0.189 0.000 0.128
B7 0.217 0.000 0.683
C1 0.017 0.500 0.785
C2 0.186 0.500 0.620
C3 0.220 0.500 0.189
# DOS at the Fermi energy, states/eV per cell: 19.26
# Magnetization, μB/atom: 0.000


Q: What are the energies relative to the best structure? A: one 2.7; two 0.0, in kJ/mol of atoms.


--- one ---
# Sb2RuRh PBE relaxed
data_Sb2RuRh
_cell_length_a 6.600
_cell_length_b 6.600
_cell_length_c 6.600
_cell_angle_alpha 90.00
_cell_angle_beta 90.00
_cell_angle_gamma 90.00
_space_group_name_H-M_alt 'F m -3 m'
_space_group_IT_number 225
_space_group_name_Hall '-F 4 2 3'
loop_
_atom_site_label
_atom_site_fract_x
_atom_site_fract_y
_atom_site_fract_z
Sb1 0.250 0.250 0.250
Ru1 0.000 0.000 0.000
Rh1 0.000 0.000 0.500
# DOS at the Fermi energy, states/eV per cell: 22.00
# Magnetization, μB/atom: 0.158


--- two ---
# Sb2RuRh PBE relaxed
data_Sb2RuRh
_cell_length_a 8.271
_cell_length_b 3.257
_cell_length_c 5.601
_cell_angle_alpha 90.00
_cell_angle_beta 103.04
_cell_angle_gamma 90.00
_space_group_name_H-M_alt 'C 1 2/m 1'
_space_group_IT_number 12
_space_group_name_Hall '-C 2y'
loop_
_atom_site_label
_atom_site_fract_x
_atom_site_fract_y
_atom_site_fract_z
Sb1 0.248 0.000 0.245
Ru1 0.000 0.500 0.000
Rh1 0.000 0.000 0.500
# DOS at the Fermi energy, states/eV per cell: 6.00
# Magnetization, μB/atom: 0.000


Q: What are the energies relative to the best structure? A: one 5.5; two 0.0, in kJ/mol of atoms.


--- one ---
# RbOsRh PBE relaxed
data_RbOsRh
_cell_length_a 10.670
_cell_length_b 4.248
_cell_length_c 8.649
_cell_angle_alpha 90.00
_cell_angle_beta 90.00
_cell_angle_gamma 90.00
_space_group_name_H-M_alt 'P n m a'
_space_group_IT_number 62
_space_group_name_Hall '-P 2ac 2n'
loop_
_atom_site_label
_atom_site_fract_x
_atom_site_fract_y
_atom_site_fract_z
Rb1 0.200 0.250 0.005
Os1 0.047 0.250 0.641
Rh1 0.053 0.250 0.364
# DOS at the Fermi energy, states/eV per cell: 10.27
# Magnetization, μB/atom: 0.229


--- two ---
# RbOsRh PBE relaxed
data_RbOsRh
_cell_length_a 2.844
_cell_length_b 4.065
_cell_length_c 13.670
_cell_angle_alpha 98.55
_cell_angle_beta 90.92
_cell_angle_gamma 90.00
_space_group_name_H-M_alt 'P -1'
_space_group_IT_number 2
_space_group_name_Hall '-P 1'
loop_
_atom_site_label
_atom_site_fract_x
_atom_site_fract_y
_atom_site_fract_z
Rb1 0.224 0.336 0.173
Os1 0.244 0.462 0.423
Rh1 0.261 0.068 0.637
# DOS at the Fermi energy, states/eV per cell: 3.78
# Magnetization, μB/atom: 0.000


Q: What are the energies relative to the best structure? A: one 50.1; two 0.0, in kJ/mol of atoms.


--- one ---
# LiB2C2 PBE relaxed
data_LiB2C2
_cell_length_a 15.427
_cell_length_b 2.688
_cell_length_c 9.417
_cell_angle_alpha 90.00
_cell_angle_beta 108.37
_cell_angle_gamma 90.00
_space_group_name_H-M_alt 'C 1 2/m 1'
_space_group_IT_number 12
_space_group_name_Hall '-C 2y'
loop_
_atom_site_label
_atom_site_fract_x
_atom_site_fract_y
_atom_site_fract_z
Li1 0.005 0.000 0.259
Li2 0.247 0.500 0.644
B1 0.118 0.000 0.636
B2 0.120 0.500 0.888
B3 0.122 0.000 0.137
B4 0.132 0.500 0.396
C1 0.115 0.500 0.721
C2 0.119 0.000 0.972
C3 0.127 0.500 0.228
C4 0.132 0.000 0.481
# DOS at the Fermi energy, states/eV per cell: 6.39
# Magnetization, μB/atom: 0.000


--- two ---
# LiB2C2 PBE relaxed
data_LiB2C2
_cell_length_a 2.754
_cell_length_b 4.765
_cell_length_c 12.511
_cell_angle_alpha 83.59
_cell_angle_beta 83.95
_cell_angle_gamma 89.95
_space_group_name_H-M_alt 'P -1'
_space_group_IT_number 2
_space_group_name_Hall '-P 1'
loop_
_atom_site_label
_atom_site_fract_x
_atom_site_fract_y
_atom_site_fract_z
Li1 0.118 0.159 0.273
Li2 0.250 0.250 0.999
B1 0.033 0.761 0.433
B2 0.178 0.545 0.147
B3 0.319 0.960 0.859
B4 0.466 0.732 0.568
C1 0.034 0.433 0.430
C2 0.183 0.877 0.140
C3 0.319 0.625 0.854
C4 0.468 0.068 0.566
# DOS at the Fermi energy, states/eV per cell: 2.15
# Magnetization, μB/atom: 0.000


Q: What are the energies relative to the best structure? A: one 3.9; two 0.0, in kJ/mol of atoms.


--- one ---
# BC5 PBE relaxed
data_BC5
_cell_length_a 4.518
_cell_length_b 2.528
_cell_length_c 6.325
_cell_angle_alpha 90.00
_cell_angle_beta 91.76
_cell_angle_gamma 90.00
_space_group_name_H-M_alt 'P 1 2/m 1'
_space_group_IT_number 10
_space_group_name_Hall '-P 2y'
loop_
_atom_site_label
_atom_site_fract_x
_atom_site_fract_y
_atom_site_fract_z
B1 0.172 0.000 0.285
C1 0.011 0.500 0.616
C2 0.171 0.000 0.030
C3 0.333 0.500 0.953
C4 0.335 0.500 0.702
C5 0.489 0.000 0.621
# DOS at the Fermi energy, states/eV per cell: 2.43
# Magnetization, μB/atom: 0.000


--- two ---
# BC5 PBE relaxed
data_BC5
_cell_length_a 4.484
_cell_length_b 7.780
_cell_length_c 4.475
_cell_angle_alpha 90.00
_cell_angle_beta 110.94
_cell_angle_gamma 90.00
_space_group_name_H-M_alt 'C 1 2/m 1'
_space_group_IT_number 12
_space_group_name_Hall '-C 2y'
loop_
_atom_site_label
_atom_site_fract_x
_atom_site_fract_y
_atom_site_fract_z
B1 0.083 0.000 0.246
C1 0.049 0.500 0.698
C2 0.065 0.174 0.690
C3 0.065 0.333 0.187
# DOS at the Fermi energy, states/eV per cell: 1.47
# Magnetization, μB/atom: 0.000


Q: What are the energies relative to the best structure? A: one 0.0; two 0.8, in kJ/mol of atoms.


--- one ---
# B5C7 PBE relaxed
data_B5C7
_cell_length_a 4.817
_cell_length_b 2.482
_cell_length_c 6.591
_cell_angle_alpha 90.00
_cell_angle_beta 94.57
_cell_angle_gamma 90.00
_space_group_name_H-M_alt 'P 1 m 1'
_space_group_IT_number 6
_space_group_name_Hall 'P -2y'
loop_
_atom_site_label
_atom_site_fract_x
_atom_site_fract_y
_atom_site_fract_z
B1 0.000 0.000 0.000
B2 0.132 0.500 0.424
B3 0.465 0.500 0.773
B4 0.631 0.000 0.437
B5 0.786 0.500 0.110
C1 0.128 0.500 0.688
C2 0.316 0.000 0.336
C3 0.319 0.000 0.103
C4 0.458 0.500 0.025
C5 0.661 0.000 0.684
C6 0.810 0.500 0.351
C7 0.973 0.000 0.747
# DOS at the Fermi energy, states/eV per cell: 1.88
# Magnetization, μB/atom: 0.000


--- two ---
# B5C7 PBE relaxed
data_B5C7
_cell_length_a 8.842
_cell_length_b 2.419
_cell_length_c 8.252
_cell_angle_alpha 90.00
_cell_angle_beta 118.03
_cell_angle_gamma 90.00
_space_group_name_H-M_alt 'C 1 m 1'
_space_group_IT_number 8
_space_group_name_Hall 'C -2y'
loop_
_atom_site_label
_atom_site_fract_x
_atom_site_fract_y
_atom_site_fract_z
B1 0.000 0.000 0.000
B2 0.006 0.000 0.493
B3 0.168 0.500 0.826
B4 0.329 0.000 0.167
B5 0.336 0.000 0.658
C1 0.004 0.500 0.862
C2 0.009 0.500 0.354
C3 0.167 0.000 0.211
C4 0.167 0.500 0.323
C5 0.172 0.000 0.690
C6 0.332 0.500 0.032
C7 0.333 0.500 0.511
# DOS at the Fermi energy, states/eV per cell: 4.48
# Magnetization, μB/atom: 0.000


Q: What are the energies relative to the best structure? A: one 0.0; two 3.6, in kJ/mol of atoms.